First-principles (PBE) data for crystalline Li2Mg2CoSn2Pt at its relaxed geometry, as listed in OQMD.

Results
E_tot = -31.58 eV/cell

Cell and atoms, written as CIF:
```
data_Li2Mg2CoSn2Pt
_cell_length_a 4.4904
_cell_length_b 4.4904
_cell_length_c 6.4126
_cell_angle_alpha 90.00
_cell_angle_beta 90.00
_cell_angle_gamma 90.00
_symmetry_space_group_name_H-M 'P -4 m 2'
_symmetry_Int_Tables_number 115
loop_
_symmetry_equiv_pos_as_xyz
'x,y,z'
'y,-x,-z'
'-x,-y,z'
'-y,x,-z'
'-x,y,z'
'-y,-x,-z'
'x,-y,z'
'y,x,-z'
loop_
_atom_site_label
_atom_site_fract_x
_atom_site_fract_y
_atom_site_fract_z
Li1 0.0000 0.0000 0.0000
Li2 0.5000 0.5000 0.5000
Mg1 0.0000 0.5000 0.2477
Co1 0.5000 0.5000 0.0000
Sn1 0.0000 0.5000 0.7701
Pt1 0.0000 0.0000 0.5000
```

---

First-principles (PBE) data for crystalline LiMgTlCo at its relaxed geometry, as listed in OQMD.

Results
E_tot = -50.91 eV/cell
distance to the lowest polymorph of the same formula = 0.0 kJ/mol of atoms

Cell and atoms, written as CIF:
```
data_LiMgTlCo
_cell_length_a 6.3577
_cell_length_b 6.3577
_cell_length_c 6.3577
_cell_angle_alpha 90.00
_cell_angle_beta 90.00
_cell_angle_gamma 90.00
_symmetry_space_group_name_H-M 'F -4 3 m'
_symmetry_Int_Tables_number 216
_symmetry_space_group_name_Hall 'F -4 2 3'
loop_
_atom_site_label
_atom_site_fract_x
_atom_site_fract_y
_atom_site_fract_z
Li1 0.0000 0.0000 0.0000
Mg1 0.2500 0.2500 0.7500
Tl1 0.2500 0.2500 0.2500
Co1 0.0000 0.0000 0.5000
```

---

First-principles (PBE) data for crystalline LiMgCoW at its relaxed geometry, as listed in OQMD.

Results
E_tot = -78.78 eV/cell
distance to the lowest polymorph of the same formula = 68.2 kJ/mol of atoms

Cell and atoms, written as CIF:
```
data_LiMgCoW
_cell_length_a 6.0762
_cell_length_b 6.0762
_cell_length_c 6.0762
_cell_angle_alpha 90.00
_cell_angle_beta 90.00
_cell_angle_gamma 90.00
_symmetry_space_group_name_H-M 'F -4 3 m'
_symmetry_Int_Tables_number 216
_symmetry_space_group_name_Hall 'F -4 2 3'
loop_
_atom_site_label
_atom_site_fract_x
_atom_site_fract_y
_atom_site_fract_z
Li1 0.0000 0.0000 0.0000
Mg1 0.0000 0.0000 0.5000
Co1 0.2500 0.2500 0.2500
W1 0.2500 0.2500 0.7500
```